No. 1
ZrSc2Al | PBEsol | relaxed Values from VASP.

Computed properties:
The calculated density comes out at 4.05 g/cm3. Its uncorrected energy is -26.97 eV for the cell shown.

```
&SYSTEM
  ibrav = 0, nat = 4, ntyp = 3
/
ATOMIC_SPECIES
Zr 91.22 Zr.upf
Sc 44.96 Sc.upf
Al 26.98 Al.upf
CELL_PARAMETERS angstrom
3.125 0.000 0.000
0.000 4.782 0.000
-1.513 0.000 5.709
ATOMIC_POSITIONS angstrom
Zr 0.000 0.000 0.000
Sc 0.037 2.391 4.539
Sc 1.548 0.000 2.641
Al -0.038 2.391 1.532
```

***

No. 2
Sr2TaTl | PBEsol | relaxed Values from VASP.

Computed properties:
The energy above the lowest structure with this stoichiometry is 160 meV per atom. The calculated density comes out at 8.46 g/cm3.

```
&SYSTEM
  ibrav = 0, nat = 8, ntyp = 3
/
ATOMIC_SPECIES
Sr 87.62 Sr.upf
Ta 180.95 Ta.upf
Tl 204.38 Tl.upf
CELL_PARAMETERS angstrom
4.659 0.000 0.000
0.000 4.659 0.000
0.000 0.000 10.136
ATOMIC_POSITIONS angstrom
Sr 0.000 2.329 2.534
Sr 0.000 2.329 7.602
Sr 2.329 0.000 2.534
Sr 2.329 0.000 7.602
Ta 0.000 0.000 0.000
Ta 2.329 2.329 5.068
Tl 0.000 0.000 5.068
Tl 2.329 2.329 0.000
```

***

No. 3
TaCrOs2 | PBEsol | relaxed Values from VASP.

Computed properties:
The calculated density comes out at 17.47 g/cm3. Its uncorrected energy is -47.29 eV for the cell shown.

```
&SYSTEM
  ibrav = 0, nat = 4, ntyp = 3
/
ATOMIC_SPECIES
Ta 180.95 Ta.upf
Cr 52.00 Cr.upf
Os 190.23 Os.upf
CELL_PARAMETERS angstrom
4.318 0.000 0.000
0.000 4.318 0.000
0.000 0.000 3.127
ATOMIC_POSITIONS angstrom
Ta 0.000 0.000 0.000
Cr 2.159 2.159 0.000
Os 0.000 2.159 1.564
Os 2.159 0.000 1.564
```

***

No. 4
YMnRu2 | PBEsol | relaxed Values from VASP.

Computed properties:
The calculated density comes out at 9.15 g/cm3. Its uncorrected energy is -142.66 eV for the cell shown.

```
&SYSTEM
  ibrav = 0, nat = 16, ntyp = 3
/
ATOMIC_SPECIES
Y 88.91 Y.upf
Mn 54.94 Mn.upf
Ru 101.07 Ru.upf
CELL_PARAMETERS angstrom
6.309 0.000 0.000
0.000 6.309 0.000
0.000 0.000 6.309
ATOMIC_POSITIONS angstrom
Y 0.000 0.000 0.000
Y 0.000 3.155 3.155
Y 3.155 0.000 3.155
Y 3.155 3.155 0.000
Mn 1.577 1.577 1.577
Mn 1.577 4.732 4.732
Mn 4.732 1.577 4.732
Mn 4.732 4.732 1.577
Ru 0.000 0.000 3.155
Ru 0.000 3.155 0.000
Ru 1.577 1.577 4.732
Ru 1.577 4.732 1.577
Ru 3.155 0.000 0.000
Ru 3.155 3.155 3.155
Ru 4.732 1.577 1.577
Ru 4.732 4.732 4.732
```

***

No. 5
TaPOs2 | PBEsol | relaxed Values from VASP.

Computed properties:
The calculated density comes out at 16.73 g/cm3. Its uncorrected energy is -168.21 eV for the cell shown.

```
&SYSTEM
  ibrav = 0, nat = 16, ntyp = 3
/
ATOMIC_SPECIES
Ta 180.95 Ta.upf
P 30.97 P.upf
Os 190.23 Os.upf
CELL_PARAMETERS angstrom
6.173 0.000 0.000
0.000 6.173 0.000
0.000 0.000 6.173
ATOMIC_POSITIONS angstrom
Ta 0.000 0.000 0.000
Ta 0.000 3.086 3.086
Ta 3.086 0.000 3.086
Ta 3.086 3.086 0.000
P 0.000 0.000 3.086
P 0.000 3.086 0.000
P 3.086 0.000 0.000
P 3.086 3.086 3.086
Os 1.543 1.543 1.543
Os 1.543 1.543 4.629
Os 1.543 4.629 1.543
Os 1.543 4.629 4.629
Os 4.629 1.543 1.543
Os 4.629 1.543 4.629
Os 4.629 4.629 1.543
Os 4.629 4.629 4.629
```

***

No. 6
TeAu3 | PBEsol | relaxed Values from VASP.

Computed properties:
The calculated density comes out at 14.13 g/cm3. As for the formation energy from raw total energies: 0.12 eV/atom.

```
&SYSTEM
  ibrav = 0, nat = 8, ntyp = 2
/
ATOMIC_SPECIES
Te 127.60 Te.upf
Au 196.97 Au.upf
CELL_PARAMETERS angstrom
6.795 0.000 0.000
0.000 3.913 0.000
-2.232 0.000 6.352
ATOMIC_POSITIONS angstrom
Te 0.000 0.000 0.000
Te 3.397 1.957 0.000
Au -1.116 1.957 3.176
Au 0.025 0.000 4.672
Au 1.141 1.957 1.680
Au 2.281 0.000 3.176
Au 3.422 1.957 4.672
Au 4.538 0.000 1.680
```

***

No. 7
YPb2 | PBEsol | relaxed Values from VASP.

Computed properties:
The calculated density comes out at 8.64 g/cm3. Its uncorrected energy is -15.50 eV for the cell shown.

```
&SYSTEM
  ibrav = 0, nat = 3, ntyp = 2
/
ATOMIC_SPECIES
Y 88.91 Y.upf
Pb 207.20 Pb.upf
CELL_PARAMETERS angstrom
5.284 0.000 0.000
0.000 5.284 0.000
0.000 0.000 3.465
ATOMIC_POSITIONS angstrom
Y 0.000 0.000 0.000
Pb 0.000 2.642 1.732
Pb 2.642 0.000 1.732
```

***

No. 8
ReAg3 | PBEsol | relaxed Values from VASP.

Computed properties:
The energy above the lowest structure with this stoichiometry is 238 meV per atom. The calculated density comes out at 13.33 g/cm3.

```
&SYSTEM
  ibrav = 0, nat = 8, ntyp = 2
/
ATOMIC_SPECIES
Re 186.21 Re.upf
Ag 107.87 Ag.upf
CELL_PARAMETERS angstrom
9.473 0.000 0.000
0.000 2.661 0.000
-0.650 0.000 5.038
ATOMIC_POSITIONS angstrom
Re 0.000 0.000 0.000
Re 4.737 1.331 0.000
Ag -0.325 1.331 2.519
Ag 2.183 1.331 1.234
Ag 1.904 0.000 3.804
Ag 4.412 0.000 2.519
Ag 6.920 0.000 1.234
Ag 6.640 1.331 3.804
```